1.
DFT (PBE-GGA) results for In2Ni7Sb2Au after structural relaxation.

E_form (uncorrected) (meV/atom): 67
Spin magnetization (μB/f.u.): 0.26
Calculated total energy (eV per atom): -4.72

CIF file:
```
data_In2Ni7Sb2Au
_chemical_formula_sum 'In2 Ni7 Sb2 Au1'
_space_group_name_H-M_alt 'P 1'
_space_group_IT_number 1
_cell_length_a 3.634
_cell_length_b 3.634
_cell_length_c 15.028
_cell_angle_alpha 94.77
_cell_angle_beta 94.77
_cell_angle_gamma 89.68
loop_
_space_group_symop_operation_xyz
'x,y,z'
loop_
_atom_site_label
_atom_site_fract_x
_atom_site_fract_y
_atom_site_fract_z
In1 0.087 0.087 0.255
In2 0.913 0.913 0.745
Ni1 0.000 0.000 0.000
Ni2 0.043 0.543 0.127
Ni3 0.164 0.164 0.439
Ni4 0.457 0.957 0.873
Ni5 0.543 0.043 0.127
Ni6 0.836 0.836 0.561
Ni7 0.957 0.457 0.873
Sb1 0.353 0.353 0.604
Sb2 0.647 0.647 0.396
Au1 0.500 0.500 0.000
```

2.
DFT (PBE-GGA) results for Sc5In2Ni2Au after structural relaxation.

Formation energy from the elements (eV/atom): -0.512
Spin magnetization (μB/f.u.): 0.00
Calculated total energy (eV per atom): -5.71

CIF file:
```
data_Sc5In2Ni2Au
_chemical_formula_sum 'Sc10 In4 Ni4 Au2'
_space_group_name_H-M_alt 'P 1'
_space_group_IT_number 1
_cell_length_a 11.023
_cell_length_b 11.023
_cell_length_c 3.312
_cell_angle_alpha 90.00
_cell_angle_beta 90.00
_cell_angle_gamma 90.00
loop_
_space_group_symop_operation_xyz
'x,y,z'
loop_
_atom_site_label
_atom_site_fract_x
_atom_site_fract_y
_atom_site_fract_z
Sc1 0.000 0.500 0.000
Sc2 0.071 0.204 0.000
Sc3 0.204 0.929 0.000
Sc4 0.296 0.429 0.000
Sc5 0.429 0.704 0.000
Sc6 0.500 0.000 0.000
Sc7 0.571 0.296 0.000
Sc8 0.704 0.571 0.000
Sc9 0.796 0.071 0.000
Sc10 0.929 0.796 0.000
In1 0.174 0.674 0.500
In2 0.326 0.174 0.500
In3 0.674 0.826 0.500
In4 0.826 0.326 0.500
Ni1 0.129 0.371 0.500
Ni2 0.371 0.871 0.500
Ni3 0.629 0.129 0.500
Ni4 0.871 0.629 0.500
Au1 0.000 0.000 0.500
Au2 0.500 0.500 0.500
```

3.
DFT (PBE-GGA) results for In2Ni7Sn2Au after structural relaxation.

Formation energy from the elements (eV/atom): 0.079
Spin magnetization (μB/f.u.): 1.03
Calculated total energy (eV per atom): -4.69

CIF file:
```
data_In2Ni7Sn2Au
_chemical_formula_sum 'In2 Ni7 Sn2 Au1'
_space_group_name_H-M_alt 'P 1'
_space_group_IT_number 1
_cell_length_a 3.623
_cell_length_b 3.623
_cell_length_c 15.085
_cell_angle_alpha 94.67
_cell_angle_beta 94.67
_cell_angle_gamma 89.60
loop_
_space_group_symop_operation_xyz
'x,y,z'
loop_
_atom_site_label
_atom_site_fract_x
_atom_site_fract_y
_atom_site_fract_z
In1 0.087 0.087 0.256
In2 0.913 0.913 0.744
Ni1 0.000 0.000 0.000
Ni2 0.043 0.544 0.127
Ni3 0.150 0.150 0.438
Ni4 0.456 0.957 0.873
Ni5 0.544 0.043 0.127
Ni6 0.850 0.850 0.562
Ni7 0.957 0.456 0.873
Sn1 0.366 0.366 0.604
Sn2 0.634 0.634 0.396
Au1 0.500 0.500 0.000
```

4.
DFT (PBE-GGA) results for TbInNiAu after structural relaxation.

Formation energy from the elements (eV/atom): -0.474
Spin magnetization (μB/f.u.): 0.00
Calculated total energy (eV per atom): -4.58

CIF file:
```
data_TbInNiAu
_chemical_formula_sum 'Tb1 In1 Ni1 Au1'
_space_group_name_H-M_alt 'P 1'
_space_group_IT_number 1
_cell_length_a 4.813
_cell_length_b 4.813
_cell_length_c 4.813
_cell_angle_alpha 60.00
_cell_angle_beta 60.00
_cell_angle_gamma 60.00
loop_
_space_group_symop_operation_xyz
'x,y,z'
loop_
_atom_site_label
_atom_site_fract_x
_atom_site_fract_y
_atom_site_fract_z
Tb1 0.000 0.000 0.000
In1 0.500 0.500 0.500
Ni1 0.250 0.250 0.250
Au1 0.750 0.750 0.750
```

5.
DFT (PBE-GGA) results for TiInNiAu after structural relaxation.

Formation energy from the elements (eV/atom): -0.259
Spin magnetization (μB/f.u.): 0.00
Calculated total energy (eV per atom): -5.18

CIF file:
```
data_TiInNiAu
_chemical_formula_sum 'Ti1 In1 Ni1 Au1'
_space_group_name_H-M_alt 'P 1'
_space_group_IT_number 1
_cell_length_a 4.544
_cell_length_b 4.544
_cell_length_c 4.544
_cell_angle_alpha 60.00
_cell_angle_beta 60.00
_cell_angle_gamma 60.00
loop_
_space_group_symop_operation_xyz
'x,y,z'
loop_
_atom_site_label
_atom_site_fract_x
_atom_site_fract_y
_atom_site_fract_z
Ti1 0.000 0.000 0.000
In1 0.500 0.500 0.500
Ni1 0.250 0.250 0.250
Au1 0.750 0.750 0.750
```

6.
DFT (PBE-GGA) results for TlIn2NiAu after structural relaxation.

Formation energy from the elements (eV/atom): 0.380
Spin magnetization (μB/f.u.): 0.01
Calculated total energy (eV per atom): -3.00

CIF file:
```
data_TlIn2NiAu
_chemical_formula_sum 'Tl1 In2 Ni1 Au1'
_space_group_name_H-M_alt 'P 1'
_space_group_IT_number 1
_cell_length_a 5.251
_cell_length_b 5.251
_cell_length_c 4.981
_cell_angle_alpha 90.00
_cell_angle_beta 90.00
_cell_angle_gamma 90.00
loop_
_space_group_symop_operation_xyz
'x,y,z'
loop_
_atom_site_label
_atom_site_fract_x
_atom_site_fract_y
_atom_site_fract_z
Tl1 0.000 0.000 0.000
In1 0.000 0.500 0.500
In2 0.500 0.000 0.500
Ni1 0.500 0.500 0.000
Au1 0.500 0.500 0.500
```

7.
DFT (PBE-GGA) results for Zr2InNiAu after structural relaxation.

Formation energy from the elements (eV/atom): 1.291
Spin magnetization (μB/f.u.): 0.00
Calculated total energy (eV per atom): -4.49

CIF file:
```
data_Zr2InNiAu
_chemical_formula_sum 'Zr2 In1 Ni1 Au1'
_space_group_name_H-M_alt 'P 1'
_space_group_IT_number 1
_cell_length_a 5.300
_cell_length_b 5.300
_cell_length_c 4.912
_cell_angle_alpha 90.00
_cell_angle_beta 90.00
_cell_angle_gamma 90.00
loop_
_space_group_symop_operation_xyz
'x,y,z'
loop_
_atom_site_label
_atom_site_fract_x
_atom_site_fract_y
_atom_site_fract_z
Zr1 0.000 0.500 0.000
Zr2 0.500 0.000 0.000
In1 0.000 0.000 0.000
Ni1 0.500 0.500 0.500
Au1 0.000 0.000 0.500
```

8.
DFT (PBE-GGA) results for NpInAu after structural relaxation.

Formation energy from the elements (eV/atom): -0.034
Spin magnetization (μB/f.u.): 4.29
Calculated total energy (eV per atom): -6.35

CIF file:
```
data_NpInAu
_chemical_formula_sum 'Np1 In1 Au1'
_space_group_name_H-M_alt 'P 1'
_space_group_IT_number 1
_cell_length_a 6.980
_cell_length_b 6.980
_cell_length_c 6.980
_cell_angle_alpha 153.61
_cell_angle_beta 153.61
_cell_angle_gamma 37.66
loop_
_space_group_symop_operation_xyz
'x,y,z'
loop_
_atom_site_label
_atom_site_fract_x
_atom_site_fract_y
_atom_site_fract_z
Np1 0.000 0.000 0.000
In1 0.313 0.313 0.000
Au1 0.663 0.663 0.000
```

9.
DFT (PBE-GGA) results for NpIn2Au8 after structural relaxation.

Formation energy from the elements (eV/atom): -0.117
Spin magnetization (μB/f.u.): 4.09
Calculated total energy (eV per atom): -4.17

CIF file:
```
data_NpIn2Au8
_chemical_formula_sum 'Np1 In2 Au8'
_space_group_name_H-M_alt 'P 1'
_space_group_IT_number 1
_cell_length_a 7.242
_cell_length_b 7.242
_cell_length_c 8.216
_cell_angle_alpha 121.83
_cell_angle_beta 121.83
_cell_angle_gamma 38.85
loop_
_space_group_symop_operation_xyz
'x,y,z'
loop_
_atom_site_label
_atom_site_fract_x
_atom_site_fract_y
_atom_site_fract_z
Np1 0.000 0.000 0.000
In1 0.308 0.308 0.275
In2 0.692 0.692 0.725
Au1 0.074 0.074 0.713
Au2 0.182 0.182 0.473
Au3 0.329 0.329 0.934
Au4 0.448 0.448 0.710
Au5 0.552 0.552 0.290
Au6 0.671 0.671 0.066
Au7 0.818 0.818 0.527
Au8 0.926 0.926 0.287
```

10.
DFT (PBE-GGA) results for NpIn2Au after structural relaxation.

Excess energy over the best structure of this formula in the dataset (meV per atom): 10
Formation energy from the elements (eV/atom): 0.000
Spin magnetization (μB/f.u.): 4.34
Calculated total energy (eV per atom): -5.42

CIF file:
```
data_NpIn2Au
_chemical_formula_sum 'Np1 In2 Au1'
_space_group_name_H-M_alt 'P 1'
_space_group_IT_number 1
_cell_length_a 4.484
_cell_length_b 4.484
_cell_length_c 4.737
_cell_angle_alpha 90.00
_cell_angle_beta 90.00
_cell_angle_gamma 90.00
loop_
_space_group_symop_operation_xyz
'x,y,z'
loop_
_atom_site_label
_atom_site_fract_x
_atom_site_fract_y
_atom_site_fract_z
Np1 0.000 0.000 0.000
In1 0.000 0.500 0.500
In2 0.500 0.000 0.500
Au1 0.500 0.500 0.000
```

11.
DFT (PBE-GGA) results for NpInAu6 after structural relaxation.

Excess energy over the best structure of this formula in the dataset (meV per atom): 0
Formation energy from the elements (eV/atom): -0.141
Spin magnetization (μB/f.u.): 3.98
Calculated total energy (eV per atom): -4.56

CIF file:
```
data_NpInAu6
_chemical_formula_sum 'Np1 In1 Au6'
_space_group_name_H-M_alt 'P 1'
_space_group_IT_number 1
_cell_length_a 4.916
_cell_length_b 5.003
_cell_length_c 7.750
_cell_angle_alpha 81.97
_cell_angle_beta 89.87
_cell_angle_gamma 60.67
loop_
_space_group_symop_operation_xyz
'x,y,z'
loop_
_atom_site_label
_atom_site_fract_x
_atom_site_fract_y
_atom_site_fract_z
Np1 0.000 0.000 0.000
In1 0.500 0.000 0.500
Au1 0.138 0.722 0.412
Au2 0.307 0.387 0.781
Au3 0.349 0.301 0.151
Au4 0.651 0.699 0.849
Au5 0.693 0.613 0.219
Au6 0.862 0.278 0.588
```

12.
DFT (PBE-GGA) results for NpInAu3 after structural relaxation.

Formation energy from the elements (eV/atom): -0.111
Spin magnetization (μB/f.u.): 4.18
Calculated total energy (eV per atom): -5.21

CIF file:
```
data_NpInAu3
_chemical_formula_sum 'Np2 In2 Au6'
_space_group_name_H-M_alt 'P 1'
_space_group_IT_number 1
_cell_length_a 4.940
_cell_length_b 7.430
_cell_length_c 6.619
_cell_angle_alpha 90.00
_cell_angle_beta 111.21
_cell_angle_gamma 90.00
loop_
_space_group_symop_operation_xyz
'x,y,z'
loop_
_atom_site_label
_atom_site_fract_x
_atom_site_fract_y
_atom_site_fract_z
Np1 0.134 0.250 0.261
Np2 0.866 0.750 0.739
In1 0.139 0.750 0.290
In2 0.861 0.250 0.710
Au1 0.323 0.510 0.650
Au2 0.323 0.990 0.650
Au3 0.498 0.250 0.979
Au4 0.502 0.750 0.021
Au5 0.677 0.010 0.350
Au6 0.677 0.490 0.350
```

Among the records above, which one has the highest calculated total energy? TlIn2NiAu

Look up the calculated total energy of the first one. -4.72 eV per atom

calculated total energy of number 12 (NpInAu3)? -5.21 eV per atom